# 1
Computed, not measured: a relaxed structure of Zr2Al6Ga at the PBE level of DFT.

Computed properties:
- Space-group type: C2/m (12)
- VASP energy: -45.4 eV/cell

Cell: 4.0410 6.3999 7.0037 Å, 110.69 106.77 90.00°
With the nearest neighbours (Å) after each atom.
Fractional positions:
Zr 0.0560 0.8150 0.1121  2 Ga 2.76, 9 Al 2.92-3.00
Zr 0.9440 0.1850 0.8879  2 Ga 2.76, 9 Al 2.92-3.00
Al 0.8267 0.4965 0.6533  8 Al 2.84-3.11, 2 Zr 2.96-3.00, 2 Ga 3.07
Al 0.3941 0.8317 0.7882  7 Al 2.84-3.13, 4 Zr 2.92-3.00, 1 Ga 2.96
Al 0.2793 0.1451 0.5586  5 Al 2.66-2.95, 3 Zr 2.93-2.96
Al 0.1733 0.5035 0.3467  8 Al 2.84-3.11, 2 Zr 2.96-3.00, 2 Ga 3.07
Al 0.6059 0.1683 0.2118  7 Al 2.84-3.13, 4 Zr 2.92-3.00, 1 Ga 2.96
Al 0.7207 0.8549 0.4414  5 Al 2.66-2.95, 3 Zr 2.93-2.96
Ga 0.5000 0.5000 0.0000  4 Zr 2.76, 8 Al 2.96-3.07

=====

# 2
Computed, not measured: a relaxed structure of MgCu4Au at the PBE level of DFT.

Computed properties:
- Space-group type: F-43m (216)
- VASP energy: -22.1 eV/cell

Cell: 4.9295 4.9295 4.9295 Å, 60.00 60.00 60.00°
With the nearest neighbours (Å) after each atom.
Fractional positions:
Cu 0.1253 0.6249 0.6249  6 Cu 2.46-2.47
Cu 0.6249 0.6249 0.1253  6 Cu 2.46-2.47
Cu 0.6249 0.6249 0.6249  6 Cu 2.46-2.47
Cu 0.6249 0.1253 0.6249  6 Cu 2.46-2.47
Mg 0.2500 0.2500 0.2500  12 Cu 2.89, 4 Au 3.02
Au 0.0000 0.0000 0.0000  12 Cu 2.89, 4 Mg 3.02

=====

# 3
Computed, not measured: a relaxed structure of Ce2AgC at the PBE level of DFT.

Computed properties:
- Space-group type: Ima2 (46)
- Relative energy among the computed polymorphs: 125 meV per atom

Cell: 4.9834 6.7608 6.7608 Å, 66.98 68.37 68.37°
With the nearest neighbours (Å) after each atom.
Fractional positions:
Ce 0.4374 0.8555 0.2697  2 C 2.33-2.43
Ce 0.1405 0.7981 0.9209  3 C 2.38-2.53
Ce 0.8595 0.5791 0.7019  3 C 2.38-2.53
Ce 0.5626 0.2303 0.6445  2 C 2.33-2.43
C 0.3728 0.6197 0.6346  5 Ce 2.33-2.53
C 0.6272 0.8654 0.8803  5 Ce 2.33-2.53
Ag 0.8273 0.1988 0.1466  2 Ag 2.94, 5 Ce 3.10-3.24
Ag 0.1727 0.3534 0.3012  2 Ag 2.94, 5 Ce 3.10-3.24

=====

# 4
Computed, not measured: a relaxed structure of La12Tb5Pm2 at the PBE level of DFT.

Computed properties:
- Space-group type: C2/m (12)
- Relative energy among the computed polymorphs: 0 meV per atom

Cell: 11.8894 10.9147 6.3185 Å, 100.10 90.00 123.00°
With the nearest neighbours (Å) after each atom.
Fractional positions:
La 0.6447 0.7876 0.3786  1 Pm 3.39, 4 La 3.42-3.71, 3 Tb 3.49-3.64
La 0.0640 0.6078 0.8007  5 La 3.42-3.68, 3 Tb 3.47-3.81, 1 Pm 3.56
La 0.3553 0.2124 0.6214  1 Pm 3.39, 4 La 3.42-3.71, 3 Tb 3.49-3.64
La 0.1156 0.2313 0.0080  4 Tb 3.46-3.69, 2 Pm 3.50, 4 La 3.53-3.82
La 0.4562 0.3922 0.1993  5 La 3.42-3.68, 3 Tb 3.47-3.81, 1 Pm 3.56
La 0.8844 0.7687 0.9920  4 Tb 3.46-3.69, 2 Pm 3.50, 4 La 3.53-3.82
La 0.4439 0.8878 0.7284  6 La 3.61-3.92, 2 Pm 3.64, 2 Tb 3.83-3.93
La 0.5438 0.6078 0.8007  5 La 3.42-3.68, 3 Tb 3.47-3.81, 1 Pm 3.56
La 0.8571 0.2124 0.6214  1 Pm 3.39, 4 La 3.42-3.71, 3 Tb 3.49-3.64
La 0.1429 0.7876 0.3786  1 Pm 3.39, 4 La 3.42-3.71, 3 Tb 3.49-3.64
La 0.9360 0.3922 0.1993  5 La 3.42-3.68, 3 Tb 3.47-3.81, 1 Pm 3.56
La 0.5561 0.1122 0.2716  6 La 3.61-3.92, 2 Pm 3.64, 2 Tb 3.83-3.93
Tb 0.2156 0.4312 0.5585  8 La 3.47-3.81, 3 Tb 3.54-3.89
Tb 0.6817 0.3634 0.8576  8 La 3.49-3.88, 2 Tb 3.54-3.77
Tb 0.3183 0.6366 0.1424  8 La 3.49-3.88, 2 Tb 3.54-3.77
Tb 0.7844 0.5688 0.4415  8 La 3.47-3.81, 3 Tb 3.54-3.89
Tb 0.0000 0.0000 0.5000  6 La 3.46-3.54
Pm 0.2346 0.0000 0.0000  8 La 3.39-3.64
Pm 0.7654 0.0000 0.0000  8 La 3.39-3.64

=====

no.,ρ (Mg/m³)
1,4.265
2,9.321
3,7.066
4,6.794